--- 1 ---
## PrDy6Er12 (PBE)

Data for crystalline PrDy6Er12 at its relaxed geometry.

DOS(E_F): 30.27 states/eV per cell
magnetization: 0.000 μB/cell
V: 31.98 A^3/atom

```
PrDy6Er12
1.0
-5.6836 4.4055 -4.4820
-4.4139 -7.0195 -1.7445
-4.8895 1.0939 6.8335
Dy Er Pr
6 12 1
direct
0.9100 0.3164 0.7443
0.0900 0.6836 0.2557
0.3164 0.7443 0.9100
0.6836 0.2557 0.0900
0.7443 0.9100 0.3164
0.2557 0.0900 0.6836
0.7715 0.5453 0.4363
0.9923 0.7849 0.6466
0.3534 0.0077 0.2151
0.4363 0.7715 0.5453
0.5453 0.4363 0.7715
0.6466 0.9923 0.7849
0.2151 0.3534 0.0077
0.5637 0.2285 0.4547
0.0077 0.2151 0.3534
0.7849 0.6466 0.9923
0.2285 0.4547 0.5637
0.4547 0.5637 0.2285
0.0000 0.0000 0.0000
```

***

--- 2 ---
## PrDy6Er12 (PBE)

Data for crystalline PrDy6Er12 at its relaxed geometry.

DOS(E_F): 23.94 states/eV per cell
magnetization: 0.001 μB/cell
V: 33.80 A^3/atom

```
PrDy6Er12
1.0
8.8874 -0.4716 -2.5815
-3.3104 8.2614 -2.5815
-0.3376 -0.4716 9.2486
Dy Er Pr
6 12 1
direct
0.7428 0.3159 0.3159
0.3159 0.7428 0.3159
0.3159 0.3159 0.7428
0.6841 0.2572 0.6841
0.2572 0.6841 0.6841
0.6841 0.6841 0.2572
0.3689 0.3689 0.1532
0.1099 0.8901 0.5000
0.6311 0.8468 0.6311
0.8901 0.1099 0.5000
0.5000 0.1099 0.8901
0.1532 0.3689 0.3689
0.6311 0.6311 0.8468
0.8901 0.5000 0.1099
0.1099 0.5000 0.8901
0.8468 0.6311 0.6311
0.5000 0.8901 0.1099
0.3689 0.1532 0.3689
0.0000 0.0000 0.0000
```

***

Which is most stable, and by how much? 1, by 281 meV per atom.

***

--- 1 ---
## Pr7Dy2Er2 (PBE)

Data for crystalline Pr7Dy2Er2 at its relaxed geometry.

DOS(E_F): 15.38 states/eV per cell
magnetization: 0.000 μB/cell
V: 34.74 A^3/atom

```
Pr7Dy2Er2
1.0
-0.6259 5.9798 1.3523
-5.4281 0.2620 6.1053
6.0467 1.6579 5.2438
Pr Dy Er
7 2 2
direct
0.8182 0.4146 0.9506
0.2004 0.5743 0.5743
0.1818 0.0494 0.5854
0.8182 0.9506 0.4146
0.1818 0.5854 0.0494
0.7996 0.4257 0.4257
0.0000 0.0000 0.0000
0.4107 0.2264 0.2264
0.5893 0.7736 0.7736
0.5000 0.2145 0.7855
0.5000 0.7855 0.2145
```

***

--- 2 ---
## Pr7Dy2Er2 (PBE)

Data for crystalline Pr7Dy2Er2 at its relaxed geometry.

DOS(E_F): 14.89 states/eV per cell
magnetization: 0.000 μB/cell
V: 34.70 A^3/atom

```
Pr7Dy2Er2
1.0
-4.6519 3.8027 -1.2118
-4.2619 -3.6068 -5.9978
-5.9239 -2.0466 5.2788
Pr Dy Er
7 2 2
direct
0.3977 0.2301 0.2301
0.0000 0.0000 0.0000
0.8214 0.4114 0.9542
0.1786 0.5886 0.0458
0.8214 0.9542 0.4114
0.1786 0.0458 0.5886
0.6023 0.7699 0.7699
0.2030 0.5768 0.5768
0.7970 0.4232 0.4232
0.5000 0.7799 0.2201
0.5000 0.2201 0.7799
```

***

Which is most stable, and by how much? 1, by 10 meV per atom.

***

--- 1 ---
## PrDy3Er (PBE)

Data for crystalline PrDy3Er at its relaxed geometry.

DOS(E_F): 16.84 states/eV per cell
magnetization: 0.004 μB/cell
V: 32.60 A^3/atom

```
PrDy3Er
1.0
-2.3970 -4.9832 7.8680
5.1119 1.0924 2.2493
-1.6447 6.0270 0.8106
Dy Er Pr
6 2 2
direct
0.7967 0.4500 0.2311
0.2033 0.9500 0.7689
0.4028 0.9500 0.3651
0.5972 0.4500 0.6349
0.9991 0.9500 0.1637
0.0009 0.4500 0.8363
0.4016 0.4500 0.0336
0.5984 0.9500 0.9664
0.1999 0.4500 0.4311
0.8001 0.9500 0.5689
```

***

--- 2 ---
## PrDy3Er (PBE)

Data for crystalline PrDy3Er at its relaxed geometry.

DOS(E_F): 13.52 states/eV per cell
magnetization: 0.000 μB/cell
V: 36.10 A^3/atom

```
PrDy3Er
1.0
-0.1133 -4.5341 2.2265
-2.0822 -0.8168 -7.5228
9.2103 -1.4070 -2.3966
Pr Dy Er
2 6 2
direct
0.3380 0.1752 0.2500
0.6620 0.8248 0.7500
0.8311 0.1618 0.9966
0.8311 0.1618 0.5034
0.1689 0.8382 0.4966
0.3293 0.1583 0.7500
0.6707 0.8417 0.2500
0.1689 0.8382 0.0034
0.9984 0.4966 0.7500
0.0016 0.5034 0.2500
```

***

Which is most stable, and by how much? 1, by 353 meV per atom.

***

--- 1 ---
## PrDy6Er2 (PBE)

Data for crystalline PrDy6Er2 at its relaxed geometry.

DOS(E_F): 12.62 states/eV per cell
magnetization: 0.000 μB/cell
V: 31.69 A^3/atom

```
PrDy6Er2
1.0
3.5359 0.3126 0.2260
-0.1429 6.0500 -6.2397
0.9135 0.6928 12.7347
Dy Er Pr
6 2 1
direct
0.7786 0.1090 0.4438
0.6679 0.6635 0.6640
0.2214 0.8910 0.5562
0.3321 0.3365 0.3360
0.8884 0.5580 0.2228
0.1116 0.4420 0.7772
0.4442 0.7753 0.1116
0.5558 0.2247 0.8884
0.0000 0.0000 0.0000
```

***

--- 2 ---
## PrDy6Er2 (PBE)

Data for crystalline PrDy6Er2 at its relaxed geometry.

DOS(E_F): 12.62 states/eV per cell
magnetization: 0.003 μB/cell
V: 32.98 A^3/atom

```
PrDy6Er2
1.0
-6.6588 3.0697 -0.1396
-5.9882 -4.2329 -0.0760
-4.3284 -0.3426 6.2993
Dy Pr Er
6 1 2
direct
0.7820 0.2611 0.6957
0.0474 0.0474 0.2914
0.0474 0.6138 0.2914
0.2611 0.2612 0.6957
0.2612 0.7820 0.6957
0.6138 0.0474 0.2914
0.3175 0.3175 0.0474
0.5796 0.5796 0.2613
0.7557 0.7557 0.7328
```

***

Which is most stable, and by how much? 1, by 326 meV per atom.

***

--- 1 ---
## Pr3DyEr (PBE)

Data for crystalline Pr3DyEr at its relaxed geometry.

DOS(E_F): 14.09 states/eV per cell
magnetization: 0.000 μB/cell
V: 34.08 A^3/atom

```
Pr3DyEr
1.0
6.1963 -1.0217 0.0043
-1.0345 6.2030 0.0083
3.0938 -0.5217 9.1192
Er Pr Dy
2 6 2
direct
0.6635 0.1557 0.3910
0.3621 0.6556 0.9944
0.4609 0.1557 0.7961
0.2626 0.1553 0.1926
0.9610 0.6555 0.7966
0.7627 0.6556 0.1929
0.0650 0.1556 0.5889
0.5650 0.6560 0.5894
0.8618 0.1556 0.9944
0.1637 0.6554 0.3910
```

***

--- 2 ---
## Pr3DyEr (PBE)

Data for crystalline Pr3DyEr at its relaxed geometry.

DOS(E_F): 29.08 states/eV per cell
magnetization: 0.000 μB/cell
V: 35.28 A^3/atom

```
Pr3DyEr
1.0
3.5917 0.0000 0.0000
0.0000 11.1038 0.0000
0.0000 0.0000 17.6946
Pr Er Dy
12 4 4
direct
0.2428 0.4429 0.5764
0.2428 0.0571 0.5764
0.7386 0.0000 0.7500
0.7572 0.0571 0.0764
0.7572 0.5571 0.4236
0.7572 0.9429 0.4236
0.7386 0.5000 0.7500
0.2614 0.0000 0.2500
0.2428 0.9429 0.9236
0.2428 0.5571 0.9236
0.2614 0.5000 0.2500
0.7572 0.4429 0.0764
0.2346 0.2500 0.7262
0.7654 0.7500 0.2738
0.2346 0.7500 0.7738
0.7654 0.2500 0.2262
0.2670 0.7500 0.1016
0.2670 0.2500 0.3984
0.7330 0.2500 0.8984
0.7330 0.7500 0.6016
```

***

Which is most stable, and by how much? 1, by 146 meV per atom.

***

--- 1 ---
## Pr5Dy2Er12 (PBE)

Data for crystalline Pr5Dy2Er12 at its relaxed geometry.

DOS(E_F): 24.84 states/eV per cell
magnetization: 0.000 μB/cell
V: 32.88 A^3/atom

```
Pr5Dy2Er12
1.0
4.6401 11.4154 0.0925
-4.6401 11.4154 0.0925
0.0000 6.2505 5.9473
Er Pr Dy
12 5 2
direct
0.3261 0.9686 0.9450
0.0746 0.0746 0.7276
0.4394 0.8189 0.4096
0.5606 0.1811 0.5904
0.5558 0.5558 0.2233
0.6739 0.0314 0.0550
0.9686 0.3261 0.9450
0.9254 0.9254 0.2724
0.4442 0.4442 0.7767
0.1811 0.5606 0.5904
0.8189 0.4394 0.4096
0.0314 0.6739 0.0550
0.7689 0.7689 0.8913
0.7068 0.7068 0.6039
0.0000 0.0000 0.5000
0.2932 0.2932 0.3961
0.2311 0.2311 0.1087
0.6746 0.3254 0.0000
0.3254 0.6746 0.0000
```

***

--- 2 ---
## Pr5Dy2Er12 (PBE)

Data for crystalline Pr5Dy2Er12 at its relaxed geometry.

DOS(E_F): 26.59 states/eV per cell
magnetization: 0.000 μB/cell
V: 32.88 A^3/atom

```
Pr5Dy2Er12
1.0
7.0401 0.0000 0.0000
-3.5200 8.6923 2.9229
0.0000 0.4760 10.3678
Er Pr Dy
12 5 2
direct
0.9754 0.9508 0.2456
0.0246 0.0492 0.7544
0.0900 0.6743 0.5200
0.0897 0.6848 0.8676
0.9100 0.3257 0.4800
0.4982 0.9963 0.6755
0.4049 0.3152 0.1324
0.5018 0.0037 0.3245
0.4157 0.3257 0.4800
0.5951 0.6848 0.8676
0.9103 0.3152 0.1324
0.5843 0.6743 0.5200
0.6813 0.3626 0.7892
0.8128 0.6255 0.1808
0.3187 0.6374 0.2108
0.1872 0.3745 0.8192
0.0000 0.0000 0.5000
0.2729 0.0000 0.0000
0.7271 0.0000 0.0000
```

***

Which is most stable, and by how much? 1, by 62 meV per atom.

***

--- 1 ---
## PrDy2Er7 (PBE)

Data for crystalline PrDy2Er7 at its relaxed geometry.

DOS(E_F): 12.88 states/eV per cell
magnetization: 0.004 μB/cell
V: 31.15 A^3/atom

```
PrDy2Er7
1.0
5.8166 -1.8040 -0.5993
-2.1612 7.4168 -1.6416
-0.8936 1.4391 7.7094
Pr Dy Er
1 2 7
direct
0.0000 0.0000 0.0000
0.5007 0.3009 0.4006
0.4993 0.6991 0.5994
0.0001 0.4015 0.2012
0.9999 0.5985 0.7988
0.5000 0.5000 0.0000
0.9999 0.2007 0.5992
0.0001 0.7993 0.4008
0.4999 0.8997 0.2009
0.5001 0.1003 0.7991
```

***

--- 2 ---
## PrDy2Er7 (PBE)

Data for crystalline PrDy2Er7 at its relaxed geometry.

DOS(E_F): 14.52 states/eV per cell
magnetization: 0.000 μB/cell
V: 38.86 A^3/atom

```
PrDy2Er7
1.0
5.5687 0.0000 0.0000
0.0000 9.1251 -0.5212
0.0000 -4.5820 7.9086
Er Dy Pr
7 2 1
direct
0.5000 0.7086 0.9384
0.0000 0.2150 0.7850
0.5000 0.0616 0.2914
0.5000 0.2914 0.0616
0.5000 0.9384 0.7086
0.5000 0.5000 0.5000
0.0000 0.7850 0.2150
0.5000 0.2969 0.7031
0.5000 0.7031 0.2969
0.0000 0.0000 0.0000
```

***

Which is most stable, and by how much? 1, by 688 meV per atom.

***

--- 1 ---
## PrDy2Er6 (PBE)

Data for crystalline PrDy2Er6 at its relaxed geometry.

DOS(E_F): 14.91 states/eV per cell
magnetization: 0.000 μB/cell
V: 31.25 A^3/atom

```
PrDy2Er6
1.0
3.3895 -0.6841 -0.1274
1.0065 5.2774 -1.5723
-3.5977 -3.3318 16.4126
Er Dy Pr
6 2 1
direct
0.4463 0.1689 0.9460
0.2276 0.8385 0.7258
0.1140 0.1700 0.6134
0.5537 0.8311 0.0540
0.8860 0.8300 0.3866
0.7724 0.1615 0.2742
0.1643 0.4983 0.1655
0.8357 0.5017 0.8345
0.5000 0.5000 0.5000
```

***

--- 2 ---
## PrDy2Er6 (PBE)

Data for crystalline PrDy2Er6 at its relaxed geometry.

DOS(E_F): 15.26 states/eV per cell
magnetization: 0.000 μB/cell
V: 35.07 A^3/atom

```
PrDy2Er6
1.0
-1.8636 -4.5042 4.8685
2.9493 -6.2211 0.2478
5.8111 -0.8066 6.3527
Er Dy Pr
6 2 1
direct
0.7725 0.2816 0.6642
0.0535 0.5608 0.3322
0.2816 0.7725 0.6642
0.5608 0.0536 0.3322
0.2816 0.2816 0.6642
0.0536 0.0535 0.3322
0.5809 0.5809 0.2574
0.7466 0.7466 0.7602
0.3346 0.3346 0.9962
```

***

Which is most stable, and by how much? 1, by 313 meV per atom.

***

--- 1 ---
## PrDy4Er5 (PBE)

Data for crystalline PrDy4Er5 at its relaxed geometry.

DOS(E_F): 16.10 states/eV per cell
magnetization: 0.000 μB/cell
V: 31.72 A^3/atom

```
PrDy4Er5
1.0
3.3713 -0.5484 -0.9455
-1.2987 6.5251 -1.1072
1.2830 1.1600 14.2255
Er Dy Pr
5 4 1
direct
0.5000 0.5000 0.0000
0.9515 0.5732 0.3874
0.7590 0.8808 0.5832
0.0485 0.4268 0.6126
0.2410 0.1192 0.4168
0.4123 0.8086 0.2186
0.1637 0.2729 0.1968
0.5877 0.1914 0.7814
0.8363 0.7271 0.8032
0.5000 0.0000 0.0000
```

***

--- 2 ---
## PrDy4Er5 (PBE)

Data for crystalline PrDy4Er5 at its relaxed geometry.

DOS(E_F): 14.32 states/eV per cell
magnetization: 0.003 μB/cell
V: 32.45 A^3/atom

```
PrDy4Er5
1.0
6.2631 0.0000 0.0000
3.1315 7.1985 0.0000
3.1315 0.0000 7.1985
Er Pr Dy
5 1 4
direct
0.6800 0.0000 0.0000
0.7146 0.0891 0.3788
0.1824 0.9109 0.6212
0.0934 0.6212 0.0891
0.8036 0.3788 0.9109
0.2221 0.0000 0.0000
0.1033 0.2995 0.4011
0.5044 0.5989 0.2995
0.4028 0.4011 0.7005
0.8039 0.7005 0.5989
```

***

Which is most stable, and by how much? 1, by 243 meV per atom.

***

--- 1 ---
## Pr2Dy4Er5 (PBE)

Data for crystalline Pr2Dy4Er5 at its relaxed geometry.

DOS(E_F): 14.88 states/eV per cell
magnetization: 0.000 μB/cell
V: 31.80 A^3/atom

```
Pr2Dy4Er5
1.0
0.4881 0.3287 3.5075
-9.1148 -0.0288 -2.3404
2.8597 -11.1736 2.4449
Er Dy Pr
5 4 2
direct
0.9562 0.0930 0.2738
0.4098 0.1810 0.5428
0.5000 0.0000 0.0000
0.5902 0.8190 0.4572
0.0438 0.9070 0.7262
0.7718 0.4536 0.3646
0.6865 0.6399 0.9066
0.3135 0.3601 0.0934
0.2282 0.5464 0.6354
0.1371 0.7293 0.1831
0.8629 0.2707 0.8169
```

***

--- 2 ---
## Pr2Dy4Er5 (PBE)

Data for crystalline Pr2Dy4Er5 at its relaxed geometry.

DOS(E_F): 13.28 states/eV per cell
magnetization: 0.000 μB/cell
V: 33.33 A^3/atom

```
Pr2Dy4Er5
1.0
-1.9935 2.2616 -1.7477
-6.3232 -8.6871 -4.0292
-1.4111 3.9048 10.1367
Pr Dy Er
2 4 5
direct
0.2028 0.2028 0.4057
0.7972 0.7972 0.5943
0.0000 0.7262 0.0000
0.0000 0.2738 0.0000
0.5902 0.5902 0.1803
0.4098 0.4098 0.8197
0.8214 0.1118 0.6429
0.8214 0.5311 0.6429
0.1786 0.4689 0.3571
0.1786 0.8882 0.3571
0.5000 0.0000 0.0000
```

***

Which is most stable, and by how much? 1, by 186 meV per atom.